[1]
Here is TlAu2S6 after structural relaxation from Alexandria. Energies are from GGA-PBE.

Its size of the total moment is 0.00 μB/f.u. Its energy relative to the elements, uncorrected is 13 kJ/mol of formula units. The calculated volume comes out at 449.38 Å³/cell.

Cell: 11.125 8.511 5.422 Å, 90.00 118.93 90.00°
Space group C2/m (No. 12)
Inequivalent atoms, fractional coordinates:
Tl: 0.000 0.000 0.000 [2 per cell]
Au: 0.000 0.276 0.500 [4 per cell]
S: 0.067 0.500 0.934 [4 per cell]
S: 0.237 0.261 0.672 [8 per cell]


[2]
Here is TlAuS2 after structural relaxation from Alexandria. Energies are from GGA-PBE.

Its size of the total moment is 0.00 μB/f.u. Its energy relative to the elements, uncorrected is -61 kJ/mol of formula units. The calculated volume comes out at 486.88 Å³/cell.

Cell: 4.860 14.168 7.071 Å, 90.00 90.00 90.00°
Space group Cmcm (No. 63)
Inequivalent atoms, fractional coordinates:
Tl: 0.000 0.196 0.250 [4 per cell]
Au: 0.000 0.496 0.250 [4 per cell]
S: 0.000 0.387 0.506 [8 per cell]


[3]
Here is Tl2Au2S5 after structural relaxation from Alexandria. Energies are from GGA-PBE.

Its size of the total moment is 0.00 μB/f.u. Its energy relative to the elements, uncorrected is -36 kJ/mol of formula units. The calculated volume comes out at 972.78 Å³/cell.

Cell: 8.333 19.041 6.163 Å, 90.00 95.80 90.00°
Space group Cm (No. 8)
Inequivalent atoms, fractional coordinates:
Tl: 0.000 0.134 0.000 [4 per cell]
Tl: 0.453 0.141 0.946 [4 per cell]
Au: 0.014 0.500 0.615 [2 per cell]
Au: 0.436 0.500 0.354 [2 per cell]
Au: 0.456 0.250 0.376 [4 per cell]
S: 0.107 0.090 0.542 [4 per cell]
S: 0.190 0.500 0.135 [2 per cell]
S: 0.212 0.302 0.452 [4 per cell]
S: 0.231 0.276 0.786 [4 per cell]
S: 0.269 0.500 0.820 [2 per cell]
S: 0.335 0.093 0.460 [4 per cell]


[4]
Here is TlAu2S2 after structural relaxation from Alexandria. Energies are from GGA-PBE.

Its size of the total moment is 0.00 μB/f.u. The energy above the most stable polymorph in this dataset comes out at 157 meV/atom. Its energy relative to the elements, uncorrected is 30 kJ/mol of formula units. The calculated volume comes out at 270.47 Å³/cell.

Cell: 5.032 5.032 10.682 Å, 90.00 90.00 90.00°
Space group I4/mmm (No. 139)
Inequivalent atoms, fractional coordinates:
Tl: 0.000 0.000 0.000 [2 per cell]
Au: 0.000 0.000 0.286 [4 per cell]
S: 0.000 0.500 0.250 [4 per cell]


[5]
Here is TlAuS3 after structural relaxation from Alexandria. Energies are from GGA-PBE.

Its size of the total moment is 0.00 μB/f.u. The energy above the most stable polymorph in this dataset comes out at 463 meV/atom. Its energy relative to the elements, uncorrected is 218 kJ/mol of formula units. The calculated volume comes out at 120.69 Å³/cell.

Cell: 4.942 4.942 4.942 Å, 90.00 90.00 90.00°
Space group Pm-3m (No. 221)
Inequivalent atoms, fractional coordinates:
Tl: 0.000 0.000 0.000 [1 per cell]
Au: 0.500 0.500 0.500 [1 per cell]
S: 0.000 0.500 0.500 [3 per cell]


[6]
Here is TlAu2S2 after structural relaxation from Alexandria. Energies are from GGA-PBE.

Its size of the total moment is 0.00 μB/f.u. The energy above the most stable polymorph in this dataset comes out at 241 meV/atom. Its energy relative to the elements, uncorrected is 70 kJ/mol of formula units. The calculated volume comes out at 227.81 Å³/cell.

Cell: 4.271 4.271 12.486 Å, 90.00 90.00 90.00°
Space group I4/mmm (No. 139)
Inequivalent atoms, fractional coordinates:
Tl: 0.000 0.000 0.000 [2 per cell]
Au: 0.000 0.500 0.250 [4 per cell]
S: 0.000 0.000 0.372 [4 per cell]


[7]
Here is Tl12Au5S3 after structural relaxation from Alexandria. Energies are from GGA-PBE.

Its size of the total moment is 0.00 μB/f.u. Its energy relative to the elements, uncorrected is -41 kJ/mol of formula units. The calculated volume comes out at 5222.06 Å³/cell.

Cell: 17.349 17.349 17.349 Å, 90.00 90.00 90.00°
Space group Ia-3d (No. 230)
Inequivalent atoms, fractional coordinates:
Tl: 0.016 0.072 0.654 [96 per cell]
Au: 0.000 0.000 0.000 [16 per cell]
Au: 0.000 0.250 0.375 [24 per cell]
S: 0.000 0.250 0.125 [24 per cell]


[8]
Here is Tl3AuS2 after structural relaxation from Alexandria. Energies are from GGA-PBE.

Its size of the total moment is 0.00 μB/f.u. Its energy relative to the elements, uncorrected is -135 kJ/mol of formula units. The calculated volume comes out at 836.52 Å³/cell.

Cell: 5.241 19.691 8.106 Å, 90.00 90.00 90.00°
Space group Ibam (No. 72)
Inequivalent atoms, fractional coordinates:
Tl: 0.000 0.000 0.250 [4 per cell]
Tl: 0.000 0.310 0.250 [8 per cell]
Au: 0.000 0.500 0.000 [4 per cell]
S: 0.201 0.395 0.000 [8 per cell]